9
Lattice="-3.771 3.771 8.557 3.771 -3.771 8.557 3.771 3.771 -8.557" Properties=species:S:1:pos:R:3 comment="Rb4SnBi4 (PBE, relaxed)" formation_energy_ev_per_atom=-0.098 m_tot_mub_per_cell=0.0 pbc="T T T"
Rb 2.317 -2.317 6.145
Rb 1.455 1.455 2.412
Rb -2.317 2.317 6.145
Rb 2.317 2.317 10.969
Sn 0.000 0.000 8.557
Bi 2.609 2.609 -2.400
Bi 1.163 -1.163 10.957
Bi 1.163 1.163 6.157
Bi -1.163 1.163 10.957

10
Lattice="-2.495 2.495 19.412 2.495 -2.495 19.412 2.495 2.495 -19.412" Properties=species:S:1:pos:R:3 comment="Rb2SnBi2 (PBE, relaxed)" formation_energy_ev_per_atom=-0.119 m_tot_mub_per_cell=0.0 e_above_lowest_polymorph_ev_per_fu=0.62 pbc="T T T"
Rb 2.495 1.248 -7.767
Rb 0.000 1.248 1.939
Rb 2.495 1.248 17.473
Rb 0.000 1.248 27.179
Sn 2.495 -1.248 14.559
Sn 0.000 3.743 4.853
Bi 2.495 1.248 -3.107
Bi 0.000 1.248 6.599
Bi 2.495 1.248 12.813
Bi 0.000 1.248 22.519

20
Lattice="-6.823 7.740 3.673 6.823 -7.740 3.673 6.823 7.740 -3.673" Properties=species:S:1:pos:R:3 comment="Rb3Sn5Bi2 (PBE, relaxed)" formation_energy_ev_per_atom=-0.176 m_tot_mub_per_cell=0.0 pbc="T T T"
Rb 10.045 1.786 0.000
Rb 0.000 0.000 1.836
Rb 3.222 5.954 0.000
Rb 3.600 1.786 3.673
Rb 0.000 0.000 5.509
Rb -3.222 5.954 3.673
Sn 6.823 -3.772 1.836
Sn 5.201 1.884 0.000
Sn 6.823 0.000 1.836
Sn 5.201 -1.884 3.673
Sn 6.823 3.772 1.836
Sn 0.000 3.968 1.836
Sn 1.622 9.624 0.000
Sn 0.000 7.740 1.836
Sn 1.622 5.856 3.673
Sn 0.000 11.512 1.836
Bi 2.111 2.417 0.000
Bi 8.934 5.323 0.000
Bi -2.111 2.417 3.673
Bi 4.711 5.323 3.673

4
Lattice="4.421 0.000 0.000 0.000 4.421 0.000 0.000 0.000 7.742" Properties=species:S:1:pos:R:3 comment="RbSnBi2 (PBE, relaxed)" formation_energy_ev_per_atom=-0.094 m_tot_mub_per_cell=0.0 pbc="T T T"
Rb 0.000 0.000 0.000
Sn 0.000 0.000 3.871
Bi 2.210 2.210 2.405
Bi 2.210 2.210 5.337

12
Lattice="6.619 -5.387 0.000 6.619 5.387 0.000 0.000 0.000 6.656" Properties=species:S:1:pos:R:3 comment="RbSn2Bi3 (PBE, relaxed)" formation_energy_ev_per_atom=-0.056 m_tot_mub_per_cell=0.0 pbc="T T T"
Rb 6.619 3.791 4.992
Rb 6.619 -3.791 1.664
Sn 4.487 0.000 0.000
Sn 4.487 0.000 3.328
Sn 8.751 0.000 0.000
Sn 8.751 0.000 3.328
Bi 2.988 2.201 4.992
Bi 6.619 1.694 1.664
Bi 2.988 -2.201 1.664
Bi 10.251 2.201 4.992
Bi 6.619 -1.694 4.992
Bi 10.251 -2.201 1.664

16
Lattice="9.125 0.000 0.000 0.000 9.062 0.000 0.000 0.000 7.420" Properties=species:S:1:pos:R:3 comment="RbSnBi2 (PBE, relaxed)" formation_energy_ev_per_atom=-0.095 m_tot_mub_per_cell=0.0 pbc="T T T"
Rb 0.231 2.265 0.907
Rb 4.332 6.796 4.617
Rb 4.794 2.265 2.804
Rb 8.894 6.796 6.514
Sn 1.098 6.796 2.656
Sn 3.465 2.265 6.366
Sn 5.661 6.796 1.055
Sn 8.027 2.265 4.765
Bi 1.439 0.484 4.342
Bi 1.439 4.047 4.342
Bi 3.123 5.015 0.631
Bi 3.123 8.578 0.631
Bi 6.002 0.484 6.789
Bi 6.002 4.047 6.789
Bi 7.686 5.015 3.079
Bi 7.686 8.578 3.079

5
Lattice="5.533 0.000 0.000 0.000 5.533 0.000 0.000 0.000 5.309" Properties=species:S:1:pos:R:3 comment="RbTcSnBi2 (PBE, relaxed)" formation_energy_ev_per_atom=0.270 m_tot_mub_per_cell=1.6 pbc="T T T"
Rb 0.000 0.000 0.000
Tc 2.766 2.766 2.655
Sn 2.766 2.766 0.000
Bi 0.000 2.766 2.655
Bi 2.766 0.000 2.655

12
Lattice="3.968 -6.874 0.000 3.968 6.874 0.000 -2.646 0.000 8.655" Properties=species:S:1:pos:R:3 comment="Rb3SnBi2Te6 (PBE, relaxed)" raw_formation_energy_ev_per_atom=-0.58 m_tot_mub_per_cell=0.0 pbc="T T T"
Rb 0.000 0.000 0.000
Rb 3.968 2.315 0.000
Rb 3.968 -2.315 0.000
Sn 2.645 0.000 4.327
Bi 2.645 4.586 4.327
Bi 2.645 -4.586 4.327
Te 1.343 2.256 2.589
Te 0.041 0.000 6.071
Te 1.343 -2.256 2.589
Te 3.947 2.256 6.066
Te 5.249 0.000 2.583
Te 3.947 -2.256 6.066

5
Lattice="5.533 0.000 0.000 0.000 5.533 0.000 0.000 0.000 5.471" Properties=species:S:1:pos:R:3 comment="RbTiSnBi2 (PBE, relaxed)" formation_energy_ev_per_atom=-0.107 m_tot_mub_per_cell=0.0 pbc="T T T"
Rb 0.000 0.000 0.000
Ti 2.766 2.766 2.736
Sn 2.766 2.766 0.000
Bi 0.000 2.766 2.736
Bi 2.766 0.000 2.736

5
Lattice="5.439 0.000 0.000 0.000 5.439 0.000 0.000 0.000 5.487" Properties=species:S:1:pos:R:3 comment="RbTiSn2Bi (PBE, relaxed)" formation_energy_ev_per_atom=-0.123 m_tot_mub_per_cell=0.0 pbc="T T T"
Rb 0.000 0.000 0.000
Ti 2.720 2.720 2.744
Sn 0.000 2.720 2.744
Sn 2.720 0.000 2.744
Bi 2.720 2.720 0.000

12
Lattice="-4.012 8.155 3.964 4.012 -8.155 3.964 4.012 8.155 -3.964" Properties=species:S:1:pos:R:3 comment="Rb2TlSnBi2 (PBE, relaxed)" formation_energy_ev_per_atom=-0.249 m_tot_mub_per_cell=0.0 pbc="T T T"
Rb 1.961 2.680 0.000
Rb 1.961 -2.680 3.964
Rb 2.051 10.835 0.000
Rb 2.051 5.476 3.964
Tl 0.000 0.000 1.982
Tl 0.000 0.000 5.946
Sn 4.012 0.000 1.982
Sn 0.000 8.155 1.982
Bi 5.873 1.559 0.000
Bi 1.861 6.596 0.000
Bi 2.151 1.559 3.964
Bi -1.861 6.596 3.964

8
Lattice="4.329 0.000 0.000 0.000 4.329 0.000 0.000 0.000 15.072" Properties=species:S:1:pos:R:3 comment="RbZnSnBi (PBE, relaxed)" formation_energy_ev_per_atom=-0.114 m_tot_mub_per_cell=0.0 pbc="T T T"
Rb 1.082 1.082 3.418
Rb 3.246 3.246 11.654
Zn 1.082 3.246 7.536
Zn 3.246 1.082 7.536
Sn 1.082 3.246 0.000
Sn 3.246 1.082 0.000
Bi 1.082 1.082 9.368
Bi 3.246 3.246 5.704

no.,raw total energy (eV/cell)
1,-24.3
2,-28.6
3,-64.9
4,-13.1
5,-41.9
6,-52.5
7,-21.7
8,-40.5
9,-21.2
10,-21.4
11,-35.1
12,-21.2